A relaxed structure of ZnPtNO2, computed with PBEsol.

Lattice parameters (Å, degrees): 4.079 4.079 3.628 90.00 90.00 90.00
Space group P4/mmm (No. 123)
Symmetry-distinct sites (fractional):
Zn 0.000 0.000 0.000
Pt 0.500 0.500 0.500
N 0.500 0.500 0.000
O 0.000 0.500 0.500

Values from the calculation:
- uncorrected formation energy (kJ/mol of formula units) = 211

***

A relaxed structure of Rb3NO, computed with PBEsol.

Lattice parameters (Å, degrees): 5.341 5.341 5.341 90.00 90.00 90.00
Space group Pm-3m (No. 221)
Symmetry-distinct sites (fractional):
Rb 0.000 0.000 0.500
N 0.000 0.000 0.000
O 0.500 0.500 0.500

Values from the calculation:
- uncorrected formation energy (kJ/mol of formula units) = 145

***

- uncorrected formation energy of number 2 (Rb3NO)?
  145 kJ/mol of formula units

***

Repeat the second record exactly.
A relaxed structure of Rb3NO, computed with PBEsol.

Lattice parameters (Å, degrees): 5.341 5.341 5.341 90.00 90.00 90.00
Space group Pm-3m (No. 221)
Symmetry-distinct sites (fractional):
Rb 0.000 0.000 0.500
N 0.000 0.000 0.000
O 0.500 0.500 0.500

Values from the calculation:
- uncorrected formation energy (kJ/mol of formula units) = 145

***

- Look up the uncorrected formation energy of the first one.
  211 kJ/mol of formula units

***

- Among the records above, which one has the lowest uncorrected formation energy?
  Rb3NO